[1]
Computed, not measured: an optimized crystal structure of La6NdAg at the GGA-PBE level of DFT.

- crystal system = triclinic
- magnetic moment (μB/f.u.) = 0.02
- energy relative to the elements (eV/f.u.) = 2.37
- N(E_F) (states/eV/cell) = 13.033
- DFT total energy (eV per atom) = -4.352
- offset from the most stable computed form (eV per formula unit) = 2.167

Geometry as CIF:
```
data_La6NdAg
_cell_length_a 7.038
_cell_length_b 7.046
_cell_length_c 8.116
_cell_angle_alpha 115.35
_cell_angle_beta 90.04
_cell_angle_gamma 119.87
_space_group_name_H-M_alt 'P -1'
_space_group_IT_number 2
loop_
_space_group_symop_operation_xyz
'x,y,z'
'-x,-y,-z'
loop_
_atom_site_label
_atom_site_fract_x
_atom_site_fract_y
_atom_site_fract_z
La1 0.044 0.303 0.249
La2 0.241 0.295 0.752
La3 0.441 0.989 0.248
Nd1 0.500 0.500 0.500
Ag1 0.000 0.500 0.000
```

[2]
Computed, not measured: an optimized crystal structure of LaNd2Ag at the GGA-PBE level of DFT.

- crystal system = trigonal
- magnetic moment (μB/f.u.) = 0.00
- energy relative to the elements (eV/f.u.) = 0.07
- N(E_F) (states/eV/cell) = 16.666
- DFT total energy (eV per atom) = -4.310
- offset from the most stable computed form (eV per formula unit) = 0.514

Geometry as CIF:
```
data_LaNd2Ag
_cell_length_a 3.7026
_cell_length_b 3.7026
_cell_length_c 32.7423
_cell_angle_alpha 90.00
_cell_angle_beta 90.00
_cell_angle_gamma 120.00
_space_group_name_H-M_alt 'R 3 m'
_space_group_IT_number 160
_space_group_name_Hall 'R 3 -2"'
loop_
_atom_site_label
_atom_site_fract_x
_atom_site_fract_y
_atom_site_fract_z
La1 0.0000 0.0000 0.0000
Nd1 0.0000 0.0000 0.5728
Nd2 0.0000 0.0000 0.7619
Ag1 0.0000 0.0000 0.1674
```